Entry 1:
Below is a relaxed Ta2AlMo crystal, with properties calculated at the GGA-PBE level. Values from VASP.

Summary:
**Energy of formation from the pure elements**: -0.1116 eV per atom
**V**: 67.61 Å³/cell

```
&SYSTEM
  ibrav = 0, nat = 4, ntyp = 3
/
ATOMIC_SPECIES
Mo 95.94 Mo.upf
Al 26.98 Al.upf
Ta 180.95 Ta.upf
ATOMIC_POSITIONS crystal
Mo 0.500 0.500 0.741
Al 0.000 0.000 0.508
Ta 0.000 0.000 0.994
Ta 0.500 0.500 0.258
CELL_PARAMETERS angstrom
-2.329 -0.318 -1.547
-0.158 -1.909 2.062
-4.222 5.902 5.141
```



Entry 2:
Below is a relaxed SmSiPd3 crystal, with properties calculated at the GGA-PBE level. Values from VASP.

Summary:
**Excess energy over the best structure of this formula in the dataset**: 140 meV/atom
**V**: 197.71 Å³/cell
**Energy relative to the elements, uncorrected**: -3.112 eV per formula unit

```
&SYSTEM
  ibrav = 0, nat = 10, ntyp = 3
/
ATOMIC_SPECIES
Sm 150.36 Sm.upf
Si 28.09 Si.upf
Pd 106.42 Pd.upf
ATOMIC_POSITIONS crystal
Sm 0.000 0.750 0.750
Sm 0.000 0.250 0.250
Si 0.500 0.500 0.000
Si 0.500 0.000 0.500
Pd 0.000 0.750 0.250
Pd 0.500 0.750 0.250
Pd 0.500 0.750 0.750
Pd 0.500 0.250 0.750
Pd 0.500 0.250 0.250
Pd 0.000 0.250 0.750
CELL_PARAMETERS angstrom
5.799 -0.454 -2.985
-3.535 5.473 -0.546
-0.293 0.454 6.516
```